The following is a DFT calculation (PBE+U) of crystalline Li2CoO3 at its relaxed geometry.

Output
As for the total magnetization: 3.00 μB/f.u. The density of states at the Fermi level is 0.033 states/eV/atom. The uncorrected energy is -5.36 eV/atom.

a = 2.9791 Å, b = 5.9600 Å, c = 6.3084 Å
α = 103.73°, β = 103.53°, γ = 93.03°
Last column: nearest neighbours and their distance in Å.
Positions (direct):
Li 0.6586 0.3399 0.8266  6 O 2.01-2.22
Li 0.3414 0.6601 0.1734  6 O 2.01-2.22
Li 0.0000 0.0000 0.5000  6 O 2.03-2.15
Li 0.0000 0.5000 0.5000  6 O 1.99-2.19
Co 0.6706 0.8204 0.8249  3 O 1.74-1.89
Co 0.3294 0.1796 0.1751  3 O 1.74-1.89
O 0.2011 0.6039 0.8355  2 Co 1.88-2.09, 2 Li 1.99-2.01
O 0.8484 0.9237 0.1438  2 Co 1.89-1.98, 1 Li 2.12
O 0.4813 0.2358 0.4678  1 Co 1.74
O 0.1516 0.0763 0.8562  2 Co 1.89-1.98, 1 Li 2.12
O 0.7989 0.3961 0.1645  2 Co 1.88-2.09, 2 Li 1.99-2.01
O 0.5187 0.7642 0.5322  1 Co 1.74


The following is a DFT calculation (PBE+U) of crystalline Li9Co7O16 at its relaxed geometry.

Output
As for the total magnetization: 9.98 μB/f.u. The density of states at the Fermi level is 0.084 states/eV/atom. The uncorrected energy is -5.55 eV/atom. The value obtained for the offset from the most stable computed form is 0.0369 eV per atom.

a = 4.9831 Å, b = 5.0477 Å, c = 11.4154 Å
α = 90.04°, β = 90.56°, γ = 109.16°
Last column: nearest neighbours and their distance in Å.
Positions (direct):
Li 0.0000 0.5000 0.0000  6 O 2.04-2.11
Li 0.5046 0.4976 0.1175  6 O 2.11-2.23
Li 0.9995 0.4994 0.2443  4 O 1.97-2.07
Li 0.4997 0.5012 0.3708  6 O 2.08-2.18
Li 0.0000 0.5000 0.5000  6 O 2.06-2.16
Li 0.5003 0.4988 0.6292  6 O 2.08-2.18
Li 0.0005 0.5006 0.7557  4 O 1.97-2.07
Li 0.4954 0.5024 0.8825  6 O 2.11-2.23
Li 0.5000 0.0000 0.0000  6 O 2.04-2.07
Co 0.0010 0.9980 0.8774  6 O 1.89-1.97
Co 0.9990 0.0020 0.1226  6 O 1.89-1.97
Co 0.4958 0.9965 0.2393  4 O 1.85-2.04
Co 0.9989 0.9998 0.3754  6 O 1.93-1.95
Co 0.5000 0.0000 0.5000  6 O 1.89-1.94
Co 0.0011 0.0002 0.6246  6 O 1.93-1.95
Co 0.5042 0.0035 0.7607  4 O 1.85-2.04
O 0.2390 0.7704 0.8708  2 Co 1.91-1.93, 3 Li 1.97-2.10
O 0.7832 0.7791 0.9996  2 Co 1.89, 3 Li 2.04-2.11
O 0.2447 0.7693 0.1312  2 Co 1.85-1.96, 2 Li 1.99-2.07
O 0.7728 0.7767 0.2493  3 Co 1.93-2.04, 2 Li 2.07-2.12
O 0.2533 0.7818 0.3835  2 Co 1.89-1.93, 1 Li 2.06
O 0.7579 0.7839 0.4994  3 Co 1.94-1.95, 2 Li 2.14-2.16
O 0.2626 0.7863 0.6194  3 Co 1.90-2.08, 1 Li 2.09
O 0.7724 0.7761 0.7476  3 Co 1.93-2.03, 2 Li 2.07-2.08
O 0.7610 0.2296 0.1292  2 Co 1.91-1.93, 3 Li 1.97-2.10
O 0.2276 0.2239 0.2524  3 Co 1.93-2.03, 2 Li 2.07-2.08
O 0.7374 0.2137 0.3806  3 Co 1.90-2.08, 1 Li 2.09
O 0.2421 0.2161 0.5006  3 Co 1.94-1.95, 2 Li 2.14-2.16
O 0.7467 0.2182 0.6165  2 Co 1.89-1.93, 1 Li 2.06
O 0.2272 0.2233 0.7507  3 Co 1.93-2.04, 2 Li 2.07-2.12
O 0.7553 0.2307 0.8688  2 Co 1.85-1.96, 2 Li 1.99-2.07
O 0.2168 0.2209 0.0004  2 Co 1.89, 3 Li 2.04-2.11


The following is a DFT calculation (PBE+U) of crystalline Li3Co2O5 at its relaxed geometry.

Output
As for the total magnetization: 1.03 μB/f.u. The uncorrected energy is -5.53 eV/atom. The value obtained for the offset from the most stable computed form is 0.0015 eV per atom.

a = 4.9175 Å, b = 5.7468 Å, c = 6.4338 Å
α = 104.03°, β = 97.64°, γ = 106.51°
Last column: nearest neighbours and their distance in Å.
Positions (direct):
Li 0.5000 0.5000 0.0000  6 O 2.11-2.16
Li 0.1138 0.7068 0.1967  6 O 2.01-2.19
Li 0.8862 0.2932 0.8033  6 O 2.01-2.19
Li 0.3005 0.0947 0.6009  6 O 2.03-2.15
Li 0.6995 0.9053 0.3991  6 O 2.03-2.15
Li 0.5000 0.0000 0.0000  6 O 2.05-2.06
Co 0.9060 0.8028 0.8028  6 O 1.86-1.94
Co 0.0940 0.1972 0.1972  6 O 1.86-1.94
Co 0.7003 0.3993 0.3986  6 O 1.90-1.97
Co 0.2997 0.6007 0.6014  6 O 1.90-1.97
O 0.8297 0.8690 0.0933  2 Co 1.86-1.92, 2 Li 2.01-2.05
O 0.3946 0.0784 0.3016  2 Co 1.91-1.92, 4 Li 2.03-2.13
O 0.1801 0.6511 0.8738  2 Co 1.87-1.90, 2 Li 2.05-2.06
O 0.6065 0.4732 0.6903  3 Co 1.93-1.97, 3 Li 2.10-2.15
O 0.0021 0.2679 0.4835  3 Co 1.92-1.95, 2 Li 2.08-2.15
O 0.1703 0.1310 0.9067  2 Co 1.86-1.92, 2 Li 2.01-2.05
O 0.8199 0.3489 0.1262  2 Co 1.87-1.90, 2 Li 2.05-2.06
O 0.6054 0.9216 0.6984  2 Co 1.91-1.92, 4 Li 2.03-2.13
O 0.9979 0.7321 0.5165  3 Co 1.92-1.95, 2 Li 2.08-2.15
O 0.3935 0.5268 0.3097  3 Co 1.93-1.97, 3 Li 2.10-2.15


- Number 1 is which compound?
  Li2CoO3